# 1
Computed, not measured: a geometry-optimized KAgAs structure at the GGA-PBE level of DFT.

Results
The raw total energy comes out at -3.115 eV per atom. Its energy above the most stable polymorph in this dataset is 0 kJ/mol of formula units. The value obtained for the magnetization is 0.00 μB per cell.

Unit cell a=10.5438 b=6.1703 c=6.4089 alpha=90.00 beta=124.55 gamma=90.00
Space group C2/m (No. 12)
Asymmetric unit:
K1 0.1331 0.0000 0.3826
Ag1 0.2500 0.2500 0.0000
As1 0.0218 0.5000 0.7188

***

# 2
Computed, not measured: a geometry-optimized LaSc3Be structure at the GGA-PBE level of DFT.

Results
The raw total energy comes out at -4.193 eV per atom. Its energy above the most stable polymorph in this dataset is 560 kJ/mol of formula units. The value obtained for the magnetization is 0.00 μB per cell.

Unit cell a=5.1447 b=5.1447 c=5.1447 alpha=90.00 beta=90.00 gamma=90.00
Space group Pm-3m (No. 221)
Asymmetric unit:
La1 0.0000 0.0000 0.0000
Sc1 0.0000 0.0000 0.5000
Be1 0.5000 0.5000 0.5000

***

# 3
Computed, not measured: a geometry-optimized NdPd5Au4 structure at the GGA-PBE level of DFT.

Results
The raw total energy comes out at -4.684 eV per atom. The value obtained for the magnetization is 0.00 μB per cell.

Unit cell a=8.2001 b=9.7468 c=4.7556 alpha=90.00 beta=90.00 gamma=90.00
Space group Pmmn (No. 59, origin choice 2)
Asymmetric unit:
Nd1 0.2500 0.2500 0.0793
Pd1 0.0813 0.5087 0.7536
Pd2 0.2500 0.7500 0.8189
Au1 0.0020 0.2500 0.5810
Au2 0.2500 0.5577 0.2556

***

# 4
Computed, not measured: a geometry-optimized ReSeS3 structure at the GGA-PBE level of DFT.

Results
Its uncorrected formation energy is 0.48 eV/atom. The raw total energy comes out at -5.182 eV per atom. Its energy above the most stable polymorph in this dataset is 0 kJ/mol of formula units. The value obtained for the magnetization is 0.00 μB per cell.

Unit cell a=4.6110 b=4.6110 c=4.6110 alpha=90.00 beta=90.00 gamma=90.00
Space group Pm-3m (No. 221)
Asymmetric unit:
Re1 0.0000 0.0000 0.0000
Se1 0.5000 0.5000 0.5000
S1 0.0000 0.0000 0.5000

***

# 5
Computed, not measured: a geometry-optimized Li3PuCu2O6 structure at the GGA-PBE level of DFT.

Results
Its uncorrected formation energy is -1.75 eV/atom. The raw total energy comes out at -6.584 eV per atom. The value obtained for the magnetization is 2.00 μB per cell.

Unit cell a=5.6682 b=8.7894 c=5.6463 alpha=90.00 beta=116.46 gamma=90.00
Space group C2/m (No. 12)
Asymmetric unit:
Li1 0.0000 0.0000 0.0000
Li2 0.0000 0.3281 0.0000
Pu1 0.0000 0.5000 0.5000
Cu1 0.0000 0.1663 0.5000
O1 0.2239 0.3341 0.7612
O2 0.2490 0.5000 0.2876

***

# 6
Computed, not measured: a geometry-optimized SrLi2Al structure at the GGA-PBE level of DFT.

Results
The raw total energy comes out at -2.170 eV per atom. The value obtained for the magnetization is 0.00 μB per cell.

Unit cell a=6.5152 b=10.6286 c=3.5716 alpha=90.00 beta=119.46 gamma=90.00
Space group C2/m (No. 12)
Asymmetric unit:
Sr1 0.0000 0.0000 0.0000
Li1 0.2500 0.2500 0.5000
Al1 0.0000 0.5000 0.0000

***

# 7
Computed, not measured: a geometry-optimized KNb3Al structure at the GGA-PBE level of DFT.

Results
The raw total energy comes out at -5.489 eV per atom. Its energy above the most stable polymorph in this dataset is 0 kJ/mol of formula units. The value obtained for the magnetization is 0.00 μB per cell.

Unit cell a=4.9719 b=4.9719 c=4.9719 alpha=90.00 beta=90.00 gamma=90.00
Space group Pm-3m (No. 221)
Asymmetric unit:
K1 0.0000 0.0000 0.0000
Nb1 0.0000 0.5000 0.5000
Al1 0.5000 0.5000 0.5000

***

# 8
Computed, not measured: a geometry-optimized TeP2H structure at the GGA-PBE level of DFT.

Results
The raw total energy comes out at -3.308 eV per atom. Its energy above the most stable polymorph in this dataset is 115 kJ/mol of formula units. The value obtained for the magnetization is 0.00 μB per cell.

Unit cell a=6.4318 b=6.4318 c=6.4318 alpha=90.00 beta=90.00 gamma=90.00
Space group Fm-3m (No. 225)
Asymmetric unit:
Te1 0.0000 0.0000 0.0000
P1 0.2500 0.2500 0.2500
H1 0.0000 0.0000 0.5000